[1]
HfFe2TcH | PBE-GGA | relaxed

Unit cell a=4.5209 b=3.3473 c=4.5209 alpha=90.00 beta=90.00 gamma=90.00
Positions (direct):
Fe: 0.5000 0.0000 0.0000
Hf: 0.5000 0.5000 0.5000
Tc: 0.0000 0.0000 0.0000
H: 0.0000 0.5000 0.0000
Fe: 0.0000 0.0000 0.5000

VASP energy (eV per atom): -7.545

=====

[2]
Ac2TeBr | PBE-GGA | relaxed

Unit cell a=4.7226 b=4.7226 c=7.7363 alpha=72.23 beta=72.23 gamma=60.00
Positions (direct):
Te: 0.0000 0.0000 0.0000
Br: 0.5000 0.5000 0.5000
Ac: 0.2473 0.2473 0.2582
Ac: 0.7527 0.7527 0.7418

Raw formation energy (eV/atom): -1.284
VASP energy (eV per atom): -4.542

=====

[3]
TlV3Bi | PBE-GGA | relaxed

Unit cell a=5.0749 b=5.0749 c=5.0749 alpha=90.00 beta=90.00 gamma=90.00
Positions (direct):
Bi: 0.5000 0.5000 0.5000
V: 0.0000 0.5000 0.0000
V: 0.5000 0.0000 0.0000
Tl: 0.0000 0.0000 0.0000
V: 0.0000 0.0000 0.5000

Formation energy from the elements (meV/atom): 1462.5
VASP energy (eV per atom): -5.258